Model A:
DFT (GGA-PBE) results for crystalline MgTcGeAs at its relaxed geometry.

```
MgTcGeAs
1.0
0.0000 3.1744 3.1744
3.1744 0.0000 3.1744
3.1744 3.1744 0.0000
Mg Tc Ge As
1 1 1 1
direct
0.0000 0.0000 0.0000
0.5000 0.5000 0.5000
0.7500 0.7500 0.7500
0.2500 0.2500 0.2500
```

Computed properties:
- mass density (Mg/m³) = 7.00
- SG = No. 216
- spin magnetization (μB per atom) = 0.00

Model B:
DFT (GGA-PBE) results for crystalline MgTcGeAs at its relaxed geometry.

```
MgTcGeAs
1.0
0.0000 3.2230 3.2230
3.2230 0.0000 3.2230
3.2230 3.2230 0.0000
Mg Tc Ge As
1 1 1 1
direct
0.0000 0.0000 0.0000
0.2500 0.2500 0.2500
0.5000 0.5000 0.5000
0.7500 0.7500 0.7500
```

Computed properties:
- mass density (Mg/m³) = 6.69
- SG = No. 216
- spin magnetization (μB per atom) = 0.00

Stability, lowest: model B

Model A:
DFT (GGA-PBE) results for crystalline GeMoAs at its relaxed geometry.

```
GeMoAs
1.0
0.0000 3.0722 3.0722
3.0722 0.0000 3.0722
3.0722 3.0722 0.0000
Ge Mo As
1 1 1
direct
0.0000 0.0000 0.0000
0.7500 0.7500 0.7500
0.5000 0.5000 0.5000
```

Computed properties:
- mass density (Mg/m³) = 6.97
- SG = No. 216
- spin magnetization (μB per atom) = 0.35

Model B:
DFT (GGA-PBE) results for crystalline GeMoAs at its relaxed geometry.

```
GeMoAs
1.0
0.0000 3.0528 3.0528
3.0528 0.0000 3.0528
3.0528 3.0528 0.0000
Ge Mo As
1 1 1
direct
0.0000 0.0000 0.0000
0.5000 0.5000 0.5000
0.2500 0.2500 0.2500
```

Computed properties:
- mass density (Mg/m³) = 7.11
- SG = No. 216
- spin magnetization (μB per atom) = 0.02

Model C:
DFT (GGA-PBE) results for crystalline GeMoAs at its relaxed geometry.

```
GeMoAs
1.0
6.7030 0.0000 0.0000
0.0000 3.3536 0.0000
0.0000 0.0000 8.4705
Ge Mo As
4 4 4
direct
0.1217 0.2500 0.0851
0.3783 0.7500 0.5851
0.6217 0.2500 0.4149
0.8783 0.7500 0.9149
0.1250 0.2500 0.7488
0.3750 0.7500 0.2488
0.6250 0.2500 0.7512
0.8750 0.7500 0.2512
0.1303 0.2500 0.4073
0.3697 0.7500 0.9073
0.6303 0.2500 0.0927
0.8697 0.7500 0.5927
```

Computed properties:
- mass density (Mg/m³) = 8.49
- SG = No. 62
- spin magnetization (μB per atom) = 0.00

Stability, lowest: model B

Model A:
DFT (GGA-PBE) results for crystalline Ge2Mo2As at its relaxed geometry.

```
Ge2Mo2As
1.0
-1.7451 1.7451 6.7133
1.7451 -1.7451 6.7133
1.7451 1.7451 -6.7133
Ge Mo As
2 2 1
direct
0.2500 0.7500 0.5000
0.7500 0.2500 0.5000
0.1038 0.1038 0.0000
0.8962 0.8962 0.0000
0.5000 0.5000 0.0000
```

Computed properties:
- mass density (Mg/m³) = 8.37
- SG = No. 139
- spin magnetization (μB per atom) = 0.00

Model B:
DFT (GGA-PBE) results for crystalline Ge2Mo2As at its relaxed geometry.

```
Ge2Mo2As
1.0
-2.3185 2.3185 4.1742
2.3185 -2.3185 4.1742
2.3185 2.3185 -4.1742
Ge Mo As
2 2 1
direct
0.1401 0.1401 0.0000
0.8599 0.8599 0.0000
0.2500 0.7500 0.5000
0.7500 0.2500 0.5000
0.5000 0.5000 0.0000
```

Computed properties:
- mass density (Mg/m³) = 7.62
- SG = No. 139
- spin magnetization (μB per atom) = 0.00

Stability, lowest: model B

Model A:
DFT (GGA-PBE) results for crystalline GeMo2As2 at its relaxed geometry.

```
GeMo2As2
1.0
-1.8232 1.8232 6.4524
1.8232 -1.8232 6.4524
1.8232 1.8232 -6.4524
Ge Mo As
1 2 2
direct
0.0000 0.0000 0.0000
0.3913 0.3913 0.0000
0.6087 0.6087 0.0000
0.2500 0.7500 0.5000
0.7500 0.2500 0.5000
```

Computed properties:
- mass density (Mg/m³) = 8.02
- SG = No. 139
- spin magnetization (μB per atom) = 0.00

Model B:
DFT (GGA-PBE) results for crystalline GeMo2As2 at its relaxed geometry.

```
GeMo2As2
1.0
-2.2728 2.2728 4.4088
2.2728 -2.2728 4.4088
2.2728 2.2728 -4.4088
Ge Mo As
1 2 2
direct
0.0000 0.0000 0.0000
0.2500 0.7500 0.5000
0.7500 0.2500 0.5000
0.3644 0.3644 0.0000
0.6356 0.6356 0.0000
```

Computed properties:
- mass density (Mg/m³) = 7.55
- SG = No. 139
- spin magnetization (μB per atom) = 0.04

Stability, lowest: model A

Model A:
DFT (GGA-PBE) results for crystalline NbGeAsO at its relaxed geometry.

```
NbGeAsO
1.0
3.2103 0.0000 0.0000
0.0000 5.8260 0.0000
0.0000 0.0000 6.9543
Nb Ge As O
2 2 2 2
direct
0.0000 0.0465 0.0000
0.0000 0.9535 0.5000
0.5000 0.3782 0.8688
0.5000 0.6218 0.3688
0.5000 0.2107 0.2841
0.5000 0.7893 0.7841
0.0000 0.2283 0.6971
0.0000 0.7717 0.1971
```

Computed properties:
- mass density (Mg/m³) = 6.55
- SG = No. 26
- spin magnetization (μB per atom) = 0.00

Model B:
DFT (GGA-PBE) results for crystalline NbGeAsO at its relaxed geometry.

```
NbGeAsO
1.0
3.9964 0.0000 0.0000
0.0000 3.9964 0.0000
0.0000 0.0000 9.0270
Nb Ge As O
2 2 2 2
direct
0.2500 0.7500 0.0000
0.7500 0.2500 0.0000
0.2500 0.2500 0.4029
0.7500 0.7500 0.5971
0.2500 0.2500 0.8123
0.7500 0.7500 0.1877
0.2500 0.7500 0.5000
0.7500 0.2500 0.5000
```

Computed properties:
- mass density (Mg/m³) = 5.91
- SG = No. 129
- spin magnetization (μB per atom) = 0.04

Model C:
DFT (GGA-PBE) results for crystalline NbGeAsO at its relaxed geometry.

```
NbGeAsO
1.0
3.5340 0.0000 0.0000
0.0000 3.5340 0.0000
0.0000 0.0000 10.2276
Nb Ge As O
2 2 2 2
direct
0.2500 0.2500 0.1218
0.7500 0.7500 0.8782
0.2500 0.7500 0.5000
0.7500 0.2500 0.5000
0.2500 0.2500 0.7469
0.7500 0.7500 0.2531
0.2500 0.7500 0.0000
0.7500 0.2500 0.0000
```

Computed properties:
- mass density (Mg/m³) = 6.67
- SG = No. 129
- spin magnetization (μB per atom) = 0.17

Model D:
DFT (GGA-PBE) results for crystalline NbGeAsO at its relaxed geometry.

```
NbGeAsO
1.0
3.5783 0.0000 0.0000
0.0000 5.6409 0.0000
0.0000 0.0000 6.7740
Nb Ge As O
2 2 2 2
direct
0.0000 0.2253 0.0000
0.0000 0.7747 0.5000
0.5000 0.1135 0.5874
0.5000 0.8865 0.0874
0.0000 0.3114 0.3739
0.0000 0.6886 0.8739
0.5000 0.2572 0.8362
0.5000 0.7428 0.3362
```

Computed properties:
- mass density (Mg/m³) = 6.23
- SG = No. 26
- spin magnetization (μB per atom) = 0.00

Stability, lowest: model B